Record 1
Entry from Alexandria: a relaxed structure of CaAl12Ag4 (PBE).

Output
Formation energy: 207 meV per atom

Cell: 7.784 7.784 7.784 Å, 109.47 109.47 109.47°
Atoms (fractional coordinates):
Al1 0.800 0.152 0.648
Ca1 0.000 0.000 0.000
Al2 0.152 0.648 0.800
Ag1 0.500 0.000 0.000
Al3 0.848 0.648 0.496
Al4 0.352 0.504 0.152
Al5 0.648 0.496 0.848
Al6 0.152 0.352 0.504
Al7 0.648 0.800 0.152
Ag2 0.500 0.500 0.500
Ag3 0.000 0.000 0.500
Ag4 0.000 0.500 0.000
Al8 0.504 0.152 0.352
Al9 0.200 0.848 0.352
Al10 0.352 0.200 0.848
Al11 0.848 0.352 0.200
Al12 0.496 0.848 0.648

***

Record 2
Entry from Alexandria: a relaxed structure of NaCu2I2Cl (PBE).

Output
Energy relative to the elements, uncorrected: -621 meV per atom

Cell: 7.292 7.624 7.323 Å, 121.37 90.00 90.00°
Atoms (fractional coordinates):
Na1 0.359 0.860 0.000
Cl1 0.723 0.808 0.000
I1 0.653 0.530 0.355
I2 0.153 0.470 0.645
Cl2 0.223 0.192 0.000
Cu1 0.793 0.834 0.332
Cu2 0.793 0.502 0.668
I3 0.153 0.825 0.355
Cu3 0.293 0.498 0.332
I4 0.653 0.175 0.645
Cu4 0.293 0.166 0.668
Na2 0.859 0.140 0.000

***

no.,VASP energy (eV per atom)
1,-3.223
2,-3.031